(1)
Rb2CrBr6F: relaxed, GGA+U.

Calculated values
Volume in Å³ per cell: 312.0
Total DFT energy (no corrections) in eV per atom: -3.07
Fermi-level density of states in states/eV per atom: 0.6202
Total magnetic moment in μB per cell: 1.0

a = 7.7821 Å, b = 7.7821 Å, c = 7.7821 Å
α = 123.79°, β = 123.79°, γ = 83.56°
Sites, in units of the cell vectors:
1 Rb 0.2500 0.7500 0.5000
2 Rb 0.7500 0.2500 0.5000
3 Cr 0.0000 0.0000 0.0000
4 Br 0.2176 0.2176 0.0000
5 Br 0.2419 0.2419 0.4839
6 Br 0.2419 0.7581 0.0000
7 Br 0.7581 0.2419 0.0000
8 Br 0.7581 0.7581 0.5161
9 Br 0.7824 0.7824 0.0000
10 F 0.5000 0.5000 0.0000

(2)
Rb2CrBrF6: relaxed, GGA+U.

Calculated values
Volume in Å³ per cell: 211.3
Total DFT energy (no corrections) in eV per atom: -4.47
Fermi-level density of states in states/eV per atom: 0.0000
Total magnetic moment in μB per cell: 3.0

a = 6.5999 Å, b = 6.5999 Å, c = 6.5999 Å
α = 117.09°, β = 117.09°, γ = 95.12°
Sites, in units of the cell vectors:
1 Rb 0.2500 0.7500 0.5000
2 Rb 0.7500 0.2500 0.5000
3 Cr 0.0000 0.0000 0.0000
4 Br 0.5000 0.5000 0.0000
5 F 0.1891 0.1891 0.3782
6 F 0.1891 0.8109 0.0000
7 F 0.2141 0.2141 0.0000
8 F 0.7859 0.7859 0.0000
9 F 0.8109 0.1891 0.0000
10 F 0.8109 0.8109 0.6218

(3)
CrRhBr2F: relaxed, GGA+U.

Calculated values
Volume in Å³ per cell: 126.8
Total DFT energy (no corrections) in eV per atom: -4.02
Fermi-level density of states in states/eV per atom: 0.9973
Total magnetic moment in μB per cell: 3.4

a = 4.8356 Å, b = 4.8356 Å, c = 5.4206 Å
α = 90.00°, β = 90.00°, γ = 90.00°
Sites, in units of the cell vectors:
1 Cr 0.0000 0.0000 0.0000
2 Rh 0.0000 0.0000 0.5000
3 Br 0.0000 0.5000 0.5000
4 Br 0.5000 0.0000 0.5000
5 F 0.5000 0.5000 0.0000

(4)
Cr2RhBrF: relaxed, GGA+U.

Calculated values
Volume in Å³ per cell: 105.5
Total DFT energy (no corrections) in eV per atom: -5.22
Fermi-level density of states in states/eV per atom: 0.8135
Total magnetic moment in μB per cell: 9.0

a = 5.1040 Å, b = 5.1040 Å, c = 4.0510 Å
α = 90.00°, β = 90.00°, γ = 90.00°
Sites, in units of the cell vectors:
1 Cr 0.0000 0.5000 0.0000
2 Cr 0.5000 0.0000 0.0000
3 Rh 0.0000 0.0000 0.0000
4 Br 0.5000 0.5000 0.5000
5 F 0.0000 0.0000 0.5000

(5)
CrSe2BrF: relaxed, GGA+U.

Calculated values
Volume in Å³ per cell: 124.5
Energy relative to the lowest polymorph listed for this composition in meV/atom: 0
Fermi-level density of states in states/eV per atom: 1.0497
Total magnetic moment in μB per cell: 0.4

a = 4.9763 Å, b = 4.9763 Å, c = 5.0263 Å
α = 90.00°, β = 90.00°, γ = 90.00°
Sites, in units of the cell vectors:
1 Cr 0.0000 0.0000 0.0000
2 Se 0.0000 0.5000 0.0000
3 Se 0.5000 0.0000 0.0000
4 Br 0.0000 0.0000 0.5000
5 F 0.5000 0.5000 0.5000

(6)
CrSe2BrF: relaxed, GGA+U.

Calculated values
Volume in Å³ per cell: 119.7
Energy relative to the lowest polymorph listed for this composition in meV/atom: 32
Fermi-level density of states in states/eV per atom: 0.9462
Total magnetic moment in μB per cell: 4.3

a = 4.3066 Å, b = 4.3066 Å, c = 6.4529 Å
α = 90.00°, β = 90.00°, γ = 90.00°
Sites, in units of the cell vectors:
1 Cr 0.0000 0.0000 0.0000
2 Se 0.0000 0.5000 0.5000
3 Se 0.5000 0.0000 0.5000
4 Br 0.5000 0.5000 0.0000
5 F 0.5000 0.5000 0.5000

(7)
Cr2SiBrF: relaxed, GGA+U.

Calculated values
Volume in Å³ per cell: 102.2
Total DFT energy (no corrections) in eV per atom: -5.09
Fermi-level density of states in states/eV per atom: 0.3101
Total magnetic moment in μB per cell: 8.4

a = 5.0655 Å, b = 5.0655 Å, c = 3.9825 Å
α = 90.00°, β = 90.00°, γ = 90.00°
Sites, in units of the cell vectors:
1 Cr 0.0000 0.5000 0.0000
2 Cr 0.5000 0.0000 0.0000
3 Si 0.0000 0.0000 0.0000
4 Br 0.5000 0.5000 0.5000
5 F 0.0000 0.0000 0.5000

(8)
CrTcBrF2: relaxed, GGA+U.

Calculated values
Volume in Å³ per cell: 101.5
Total DFT energy (no corrections) in eV per atom: -4.30
Fermi-level density of states in states/eV per atom: 0.7062
Total magnetic moment in μB per cell: 2.5

a = 4.6833 Å, b = 4.6833 Å, c = 4.6260 Å
α = 90.00°, β = 90.00°, γ = 90.00°
Sites, in units of the cell vectors:
1 Cr 0.0000 0.0000 0.0000
2 Tc 0.5000 0.5000 0.0000
3 Br 0.5000 0.5000 0.5000
4 F 0.0000 0.5000 0.5000
5 F 0.5000 0.0000 0.5000

(9)
TiCr2BrF: relaxed, GGA+U.

Calculated values
Volume in Å³ per cell: 126.6
Total DFT energy (no corrections) in eV per atom: -4.80
Fermi-level density of states in states/eV per atom: 0.5883
Total magnetic moment in μB per cell: 6.1

a = 4.8302 Å, b = 4.8302 Å, c = 5.4281 Å
α = 90.00°, β = 90.00°, γ = 90.00°
Sites, in units of the cell vectors:
1 Ti 0.0000 0.0000 0.0000
2 Cr 0.0000 0.5000 0.5000
3 Cr 0.5000 0.0000 0.5000
4 Br 0.5000 0.5000 0.5000
5 F 0.5000 0.5000 0.0000

(10)
Tl2CrBr2F2: relaxed, GGA+U.

Calculated values
Volume in Å³ per cell: 338.6
Total DFT energy (no corrections) in eV per atom: -4.25
Total magnetic moment in μB per cell: 8.0

a = 4.3938 Å, b = 4.3938 Å, c = 17.5385 Å
α = 90.00°, β = 90.00°, γ = 90.00°
Sites, in units of the cell vectors:
1 Tl 0.0000 0.0000 0.1296
2 Tl 0.0000 0.0000 0.8704
3 Tl 0.5000 0.5000 0.3704
4 Tl 0.5000 0.5000 0.6296
5 Cr 0.0000 0.0000 0.5000
6 Cr 0.5000 0.5000 0.0000
7 Br 0.0000 0.0000 0.3332
8 Br 0.0000 0.0000 0.6668
9 Br 0.5000 0.5000 0.1668
10 Br 0.5000 0.5000 0.8332
11 F 0.0000 0.5000 0.0000
12 F 0.0000 0.5000 0.5000
13 F 0.5000 0.0000 0.0000
14 F 0.5000 0.0000 0.5000

(11)
Y2CrBrF: relaxed, GGA+U.

Calculated values
Volume in Å³ per cell: 152.5
Total DFT energy (no corrections) in eV per atom: -4.83
Fermi-level density of states in states/eV per atom: 0.7268
Total magnetic moment in μB per cell: 3.6

a = 5.4629 Å, b = 5.4629 Å, c = 5.1086 Å
α = 90.00°, β = 90.00°, γ = 90.00°
Sites, in units of the cell vectors:
1 Y 0.0000 0.5000 0.0000
2 Y 0.5000 0.0000 0.0000
3 Cr 0.0000 0.0000 0.0000
4 Br 0.0000 0.0000 0.5000
5 F 0.5000 0.5000 0.5000

(12)
YCr2BrF: relaxed, GGA+U.

Calculated values
Volume in Å³ per cell: 194.9
Total DFT energy (no corrections) in eV per atom: -4.69
Fermi-level density of states in states/eV per atom: 1.0630
Total magnetic moment in μB per cell: 10.9

a = 6.0323 Å, b = 6.0323 Å, c = 5.3552 Å
α = 90.00°, β = 90.00°, γ = 90.00°
Sites, in units of the cell vectors:
1 Y 0.0000 0.0000 0.0000
2 Cr 0.0000 0.5000 0.0000
3 Cr 0.5000 0.0000 0.0000
4 Br 0.0000 0.0000 0.5000
5 F 0.5000 0.5000 0.5000